Compound: Nd6SmDy3Tm2
Source: Alexandria via LeMat-Bulk
Functional: PBE-GGA
Structure: relaxed

Results
As for the space group: C2/m. Its formation energy is 0.013 eV per atom. Its total energy is -4.660 eV per atom.

Cell and atoms, written as POSCAR:
```
Nd6SmDy3Tm2
1.0
3.1348 -5.4289 0.0000
3.1348 5.4289 0.0000
-2.0829 0.0000 11.6749
Nd Sm Dy Tm
6 1 3 2
Direct
0.0820 0.4160 0.2502
0.2500 0.2500 0.7497
0.4160 0.0820 0.2502
0.5840 0.9180 0.7498
0.7500 0.7500 0.2503
0.9180 0.5840 0.7498
0.5000 0.5000 0.5000
0.0000 0.0000 0.0000
0.3332 0.6668 0.0000
0.6668 0.3332 0.0000
0.1665 0.8335 0.5000
0.8335 0.1665 0.5000
```